The following is a PBE calculation of a relaxed Pm2NdCu2Sn2 crystal, from Alexandria.

Cell and atoms, written as extended XYZ:
```
7
Lattice="-3.8743 -1.5035 2.0070 -1.8516 -4.0272 -1.2852 3.2860 -6.3538 6.8896" Properties=species:S:1:pos:R:3 pbc="T T T"
Pm 1.2749 -4.6077 4.3156
Pm -3.7149 -7.2768 3.2959
Nd 0.0000 0.0000 0.0000
Cu -2.6535 -4.6976 1.9709
Cu 0.2135 -7.1869 5.6406
Sn -1.6081 -9.1060 5.9926
Sn -0.8318 -2.7785 1.6189
```

Electronic total energy, eV/atom: -4.7675
Formation enthalpy at 0 K, eV per atom: -0.415
Crystal system: trigonal
M_tot, μB/f.u.: 0.0